Below is a relaxed structure of CaOF3, with properties calculated at the PBE level.

Unit cell a=4.4593 b=4.4593 c=4.4593 alpha=90.00 beta=90.00 gamma=90.00
Atoms (fractional coordinates):
1 Ca 0.0000 0.0000 0.0000
2 O 0.5000 0.5000 0.5000
3 F 0.0000 0.0000 0.5000
4 F 0.0000 0.5000 0.0000
5 F 0.5000 0.0000 0.0000

Properties
As for the total energy: -20.92 eV for the cell shown. The uncorrected formation energy comes out at -1.67 eV per atom. For the total moment, the calculation gives 3.0 μB per formula unit. Its density of states at the Fermi level is 5.52 states/eV/f.u. The crystal system is cubic. The calculation puts the relative energy among the computed polymorphs at 0 meV/atom. The calculation puts the calculated density at 2117 kg/m3.